First-principles (PBE) data for a relaxed structure of SrPr2Th, as listed in the Alexandria database.

Crystal system = tetragonal
V = 38.56 Å³ per atom
Space-group type = P4/mmm, No. 123
Size of the total moment = 0.00 μB/cell
Formation energy from the elements = 0.07 eV per atom
DOS at the Fermi energy = 1.36 states/eV per atom

Lattice parameters (Å, degrees): 3.740 3.740 11.028 90.00 90.00 90.00
Element x y z (fractional)
1 Pr 0.000 0.000 0.783
2 Pr 0.000 0.000 0.217
3 Sr 0.500 0.500 0.500
4 Th 0.500 0.500 0.000